[1]
AgSnAsSe3 | the Alexandria database | PBE-GGA | relaxed; total magnetization = 0.00 μB per cell; E = -3.83 eV per atom; space-group type = No. 11; formation energy from raw total energies = -0.173 eV per atom; ρ = 5.74 g/cm3
1.0
8.5583 0.0000 0.0000
0.0000 3.9116 0.0000
-1.4923 0.0000 9.3045
Ag Sn As Se
2 2 2 6
Direct
0.0779 0.2500 0.1016
0.9221 0.7500 0.8984
0.1975 0.2500 0.7653
0.8025 0.7500 0.2347
0.3257 0.7500 0.3895
0.6743 0.2500 0.6105
0.1232 0.2500 0.3854
0.2570 0.7500 0.9887
0.4221 0.7500 0.6489
0.5779 0.2500 0.3511
0.7430 0.2500 0.0113
0.8768 0.7500 0.6146

=====

[2]
Ag2SnAsSe | the Alexandria database | PBE-GGA | relaxed; total magnetization = 0.00 μB per cell; E = -3.12 eV per atom; space-group type = No. 123; formation energy from raw total energies = 0.444 eV per atom; Fermi-level density of states = 0.665 states/eV per atom; ρ = 6.10 g/cm3
1.0
4.8931 0.0000 0.0000
0.0000 4.8931 0.0000
0.0000 0.0000 5.5565
Ag Sn As Se
2 1 1 1
Direct
0.0000 0.5000 0.0000
0.5000 0.0000 0.0000
0.0000 0.0000 0.5000
0.5000 0.5000 0.5000
0.5000 0.5000 0.0000

=====

[3]
AgSn2As2Se | the Alexandria database | PBE-GGA | relaxed; total magnetization = 0.00 μB per cell; E = -3.99 eV per atom; space-group type = No. 36; formation energy from raw total energies = -0.053 eV per atom; Fermi-level density of states = 0.522 states/eV per atom; ρ = 5.43 g/cm3
1.0
7.0435 -3.6138 0.0000
7.0435 3.6138 0.0000
0.0000 0.0000 6.9032
Ag Sn As Se
2 4 4 2
Direct
0.1751 0.8249 0.5000
0.8249 0.1751 0.0000
0.1516 0.5034 0.0188
0.4966 0.8484 0.0188
0.5034 0.1516 0.5188
0.8484 0.4966 0.5188
0.1633 0.5234 0.6278
0.4766 0.8367 0.6278
0.5234 0.1633 0.1278
0.8367 0.4766 0.1278
0.1847 0.8153 0.1115
0.8153 0.1847 0.6115

=====

[4]
SrAgAs2Se4 | the Alexandria database | PBE-GGA | relaxed; total magnetization = 0.00 μB per cell; E = -3.94 eV per atom; space-group type = No. 42; formation energy from raw total energies = -0.469 eV per atom; Fermi-level density of states = 0.310 states/eV per atom; ρ = 5.19 g/cm3
1.0
0.0000 5.5408 4.5886
4.1577 0.0000 4.5886
4.1577 5.5408 0.0000
Sr Ag As Se
1 1 2 4
Direct
0.0000 0.0000 0.0000
0.5571 0.5571 0.4429
0.2785 0.2785 0.2215
0.7785 0.7785 0.7215
0.2120 0.6675 0.3325
0.5012 0.9917 0.4988
0.6675 0.2120 0.7880
0.9917 0.5012 0.0083

=====

[5]
SrAgAsSe2 | the Alexandria database | PBE-GGA | relaxed; total magnetization = 2.57 μB per cell; E = -2.68 eV per atom; space-group type = No. 123; formation energy from raw total energies = 0.546 eV per atom; Fermi-level density of states = 1.053 states/eV per atom; ρ = 3.63 g/cm3; offset from the most stable computed form = 0.833 eV per atom
1.0
5.7885 0.0000 0.0000
0.0000 5.7885 0.0000
0.0000 0.0000 5.8472
Sr Ag As Se
1 1 1 2
Direct
0.0000 0.0000 0.0000
0.5000 0.5000 0.5000
0.0000 0.0000 0.5000
0.0000 0.5000 0.0000
0.5000 0.0000 0.0000

=====

[6]
SrAgAsSe3 | the Alexandria database | PBE-GGA | relaxed; total magnetization = 0.00 μB per cell; E = -3.97 eV per atom; space-group type = No. 11; formation energy from raw total energies = -0.700 eV per atom; Fermi-level density of states = 0.019 states/eV per atom; ρ = 5.61 g/cm3
1.0
7.6797 0.0000 0.0000
0.0000 4.1087 0.0000
-2.9567 0.0000 9.5224
Sr Ag As Se
2 2 2 6
Direct
0.2354 0.2500 0.1951
0.7646 0.7500 0.8049
0.4086 0.2500 0.8986
0.5914 0.7500 0.1014
0.1953 0.7500 0.6285
0.8047 0.2500 0.3715
0.0600 0.7500 0.3684
0.2060 0.7500 0.9570
0.4251 0.2500 0.6314
0.5749 0.7500 0.3686
0.7940 0.2500 0.0430
0.9400 0.2500 0.6316